Entry 1:
Density functional theory data (PBE-GGA) for an optimized crystal structure of Ac5IrRh2.

Computed properties:
Its formation energy is -0.543 eV per atom. For the magnetic moment, the calculation gives 0.00 μB per cell.

Lattice parameters (Å, degrees): 5.929 13.755 14.650 90.00 90.00 90.00
Space group Cmcm (No. 63)
Unique sites:
Ac 0.000 0.052 0.119 (multiplicity 8)
Ac 0.000 0.252 0.750 (multiplicity 4)
Ac 0.000 0.331 0.069 (multiplicity 8)
Ir 0.000 0.213 0.250 (multiplicity 4)
Rh 0.000 0.149 0.558 (multiplicity 8)

Entry 2:
Density functional theory data (PBE-GGA) for an optimized crystal structure of Co2HgBr.

Computed properties:
For the raw formation energy, the calculation gives 0.44 eV/atom. The offset from the most stable computed form comes out at 37 kJ/mol of formula units. For the magnetic moment, the calculation gives 3.60 μB per cell.

Lattice parameters (Å, degrees): 3.197 3.946 6.316 90.00 90.00 90.00
Space group Pmmm (No. 47)
Unique sites:
Co 0.000 0.000 0.175 (multiplicity 2)
Hg 0.500 0.500 0.000 (multiplicity 1)
Br 0.500 0.000 0.500 (multiplicity 1)

Entry 3:
Density functional theory data (PBE-GGA) for an optimized crystal structure of PuH3F9.

Computed properties:
The total energy comes out at -282.9 eV for the cell shown. For the magnetic moment, the calculation gives 8.00 μB per cell.

Lattice parameters (Å, degrees): 15.647 6.210 8.777 90.00 109.79 90.00
Space group Cc (No. 9)
Unique sites:
Pu 0.000 0.246 0.000 (multiplicity 4)
H 0.218 0.457 0.867 (multiplicity 4)
H 0.240 0.266 0.496 (multiplicity 4)
H 0.256 0.236 0.736 (multiplicity 4)
F 0.003 0.240 0.231 (multiplicity 4)
F 0.094 0.481 0.054 (multiplicity 4)
F 0.098 0.024 0.051 (multiplicity 4)
F 0.213 0.321 0.381 (multiplicity 4)
F 0.220 0.296 0.854 (multiplicity 4)
F 0.282 0.193 0.650 (multiplicity 4)
F 0.401 0.033 0.449 (multiplicity 4)
F 0.406 0.488 0.445 (multiplicity 4)
F 0.495 0.247 0.268 (multiplicity 4)

Entry 4:
Density functional theory data (PBE-GGA) for an optimized crystal structure of CeZnHg3.

Computed properties:
Its formation energy is -0.156 eV per atom. For the magnetic moment, the calculation gives 4.51 μB per cell.

Lattice parameters (Å, degrees): 25.845 3.844 4.924 90.00 97.83 90.00
Space group C2/m (No. 12)
Unique sites:
Ce 0.082 0.000 0.308 (multiplicity 4)
Zn 0.131 0.500 0.830 (multiplicity 4)
Hg 0.029 0.500 0.771 (multiplicity 4)
Hg 0.188 0.500 0.357 (multiplicity 4)
Hg 0.208 0.000 0.851 (multiplicity 4)

Entry 5:
Density functional theory data (PBE-GGA) for an optimized crystal structure of ZnW2Se.

Computed properties:
For the raw formation energy, the calculation gives 0.63 eV/atom. The offset from the most stable computed form comes out at 128 kJ/mol of formula units. For the magnetic moment, the calculation gives 0.00 μB per cell.

Lattice parameters (Å, degrees): 2.829 4.441 5.260 90.00 90.29 90.00
Space group P2/m (No. 10)
Unique sites:
Zn 0.000 0.000 0.000 (multiplicity 1)
W 0.358 0.500 0.766 (multiplicity 2)
Se 0.500 0.000 0.500 (multiplicity 1)

Entry 6:
Density functional theory data (PBE-GGA) for an optimized crystal structure of TlHgBiF6.

Computed properties:
For the raw formation energy, the calculation gives -1.96 eV/atom. For the magnetic moment, the calculation gives 0.00 μB per cell.

Lattice parameters (Å, degrees): 6.3633 6.3633 10.8917 90.00 90.00 120.00
Space group P-31c (No. 163)
Unique sites:
Tl 0.0000 0.0000 0.0000 (multiplicity 2)
Hg 0.3333 0.6667 0.2500 (multiplicity 2)
Bi 0.3333 0.6667 0.7500 (multiplicity 2)
F 0.0080 0.3767 0.6424 (multiplicity 12)

Entry 7:
Density functional theory data (PBE-GGA) for an optimized crystal structure of Re2NiPb.

Computed properties:
Its formation energy is 0.787 eV per atom. For the magnetic moment, the calculation gives 0.00 μB per cell.

Lattice parameters (Å, degrees): 3.170 4.322 4.741 90.00 90.00 90.00
Space group Pmmm (No. 47)
Unique sites:
Re 0.000 0.000 0.000 (multiplicity 1)
Re 0.500 0.500 0.000 (multiplicity 1)
Ni 0.000 0.500 0.500 (multiplicity 1)
Pb 0.500 0.000 0.500 (multiplicity 1)

Entry 8:
Density functional theory data (PBE-GGA) for an optimized crystal structure of Ag4SBrCl2.

Computed properties:
For the raw formation energy, the calculation gives -0.24 eV/atom. For the magnetic moment, the calculation gives 0.00 μB per cell.

Lattice parameters (Å, degrees): 10.543 13.397 7.385 90.00 134.41 90.00
Space group C2/c (No. 15)
Unique sites:
Ag 0.000 0.194 0.011 (multiplicity 8)
Ag 0.241 0.005 0.991 (multiplicity 8)
S 0.000 0.000 0.000 (multiplicity 4)
Br 0.250 0.250 0.000 (multiplicity 4)
Cl 0.000 0.500 0.000 (multiplicity 4)
Cl 0.250 0.250 0.500 (multiplicity 4)